Computed, not measured: a relaxed BaTePd crystal at the GGA-PBE level of DFT. Values from VASP.

Geometry as Quantum ESPRESSO input:
```
&SYSTEM
  ibrav = 0, nat = 6, ntyp = 3
/
ATOMIC_SPECIES
Ba 137.33 Ba.upf
Te 127.60 Te.upf
Pd 106.42 Pd.upf
ATOMIC_POSITIONS crystal
Ba 0.000 0.000 0.000
Ba 0.137 0.135 0.476
Te 0.568 0.526 0.199
Te 0.673 0.699 0.739
Pd 0.497 0.228 0.748
Pd 0.614 0.617 0.468
CELL_PARAMETERS angstrom
4.723 0.000 0.000
0.996 4.840 0.000
1.283 1.591 8.915
```

Computed properties:
* final energy: -4.459 eV/atom
* N(E_F): 0.00 states/eV per atom
* total magnetic moment: 0.000 μB/cell
* volume: 34.0 A^3/atom

Computed, not measured: a relaxed BaTePd crystal at the GGA-PBE level of DFT. Values from VASP.

Geometry as Quantum ESPRESSO input:
```
&SYSTEM
  ibrav = 0, nat = 6, ntyp = 3
/
ATOMIC_SPECIES
Ba 137.33 Ba.upf
Te 127.60 Te.upf
Pd 106.42 Pd.upf
ATOMIC_POSITIONS crystal
Ba 0.000 0.000 0.000
Ba 0.750 0.250 0.500
Te 0.395 0.395 0.791
Te 0.605 0.605 0.209
Pd 0.168 0.666 0.333
Pd 0.334 0.832 0.667
CELL_PARAMETERS angstrom
3.363 -3.350 0.000
3.363 3.350 0.000
-3.351 0.000 8.666
```

Computed properties:
* final energy: -4.461 eV/atom
* N(E_F): 0.02 states/eV per atom
* total magnetic moment: 0.000 μB/cell
* volume: 32.6 A^3/atom

Computed, not measured: a relaxed BaTe2Pd2 crystal at the GGA-PBE level of DFT. Values from VASP.

Geometry as Quantum ESPRESSO input:
```
&SYSTEM
  ibrav = 0, nat = 5, ntyp = 3
/
ATOMIC_SPECIES
Ba 137.33 Ba.upf
Te 127.60 Te.upf
Pd 106.42 Pd.upf
ATOMIC_POSITIONS crystal
Ba 0.000 0.000 0.000
Te 0.250 0.750 0.500
Te 0.750 0.250 0.500
Pd 0.338 0.338 0.000
Pd 0.662 0.662 0.000
CELL_PARAMETERS angstrom
-2.640 2.640 4.925
2.640 -2.640 4.925
2.640 2.640 -4.925
```

Computed properties:
* final energy: -4.473 eV/atom
* N(E_F): 0.48 states/eV per atom
* total magnetic moment: 0.000 μB/cell
* volume: 27.5 A^3/atom

Computed, not measured: a relaxed BaTe2Pd4 crystal at the GGA-PBE level of DFT. Values from VASP.

Geometry as Quantum ESPRESSO input:
```
&SYSTEM
  ibrav = 0, nat = 28, ntyp = 3
/
ATOMIC_SPECIES
Ba 137.33 Ba.upf
Te 127.60 Te.upf
Pd 106.42 Pd.upf
ATOMIC_POSITIONS crystal
Ba 0.118 0.250 0.006
Ba 0.382 0.750 0.506
Ba 0.618 0.250 0.494
Ba 0.882 0.750 0.994
Te 0.030 0.750 0.282
Te 0.227 0.250 0.583
Te 0.273 0.750 0.083
Te 0.470 0.250 0.782
Te 0.530 0.750 0.218
Te 0.727 0.250 0.917
Te 0.773 0.750 0.417
Te 0.970 0.250 0.718
Pd 0.058 0.750 0.672
Pd 0.088 0.250 0.471
Pd 0.182 0.750 0.385
Pd 0.220 0.750 0.763
Pd 0.280 0.250 0.263
Pd 0.318 0.250 0.885
Pd 0.412 0.750 0.971
Pd 0.442 0.250 0.172
Pd 0.558 0.750 0.828
Pd 0.588 0.250 0.029
Pd 0.682 0.750 0.115
Pd 0.720 0.750 0.737
Pd 0.780 0.250 0.237
Pd 0.818 0.250 0.615
Pd 0.912 0.750 0.529
Pd 0.942 0.250 0.328
CELL_PARAMETERS angstrom
17.788 0.000 0.000
0.000 4.589 0.000
0.000 0.000 7.702
```

Computed properties:
* final energy: -4.745 eV/atom
* N(E_F): 0.65 states/eV per atom
* total magnetic moment: 0.000 μB/cell
* volume: 22.5 A^3/atom

Computed, not measured: a relaxed BaTePd crystal at the GGA-PBE level of DFT. Values from VASP.

Geometry as Quantum ESPRESSO input:
```
&SYSTEM
  ibrav = 0, nat = 9, ntyp = 3
/
ATOMIC_SPECIES
Ba 137.33 Ba.upf
Te 127.60 Te.upf
Pd 106.42 Pd.upf
ATOMIC_POSITIONS crystal
Ba 0.000 0.000 0.000
Ba 0.000 0.000 0.334
Ba 0.000 0.000 0.666
Te 0.333 0.667 0.500
Te 0.667 0.333 0.168
Te 0.667 0.333 0.832
Pd 0.333 0.667 0.165
Pd 0.333 0.667 0.835
Pd 0.667 0.333 0.500
CELL_PARAMETERS angstrom
4.748 0.000 0.000
-2.374 4.112 0.000
0.000 0.000 13.845
```

Computed properties:
* final energy: -4.606 eV/atom
* N(E_F): 0.05 states/eV per atom
* total magnetic moment: 0.000 μB/cell
* volume: 30.0 A^3/atom

Computed, not measured: a relaxed BaTe2Pd2 crystal at the GGA-PBE level of DFT. Values from VASP.

Geometry as Quantum ESPRESSO input:
```
&SYSTEM
  ibrav = 0, nat = 5, ntyp = 3
/
ATOMIC_SPECIES
Ba 137.33 Ba.upf
Te 127.60 Te.upf
Pd 106.42 Pd.upf
ATOMIC_POSITIONS crystal
Ba 0.000 0.000 0.000
Te 0.365 0.365 0.000
Te 0.635 0.635 0.000
Pd 0.250 0.750 0.500
Pd 0.750 0.250 0.500
CELL_PARAMETERS angstrom
-2.307 2.307 6.256
2.307 -2.307 6.256
2.307 2.307 -6.256
```

Computed properties:
* final energy: -4.542 eV/atom
* N(E_F): 0.54 states/eV per atom
* total magnetic moment: 0.000 μB/cell
* volume: 26.6 A^3/atom